The following is a DFT calculation (GGA-PBE) of a relaxed OsCSeBr2 crystal.

Computed properties:
Formation energy (no corrections): 10.32 eV/f.u.
Excess energy over the best structure of this formula in the dataset: 1.44 eV per formula unit
Magnetization: 0.0 μB per cell
Space group: P4/mmm, No. 123

```
OsCSeBr2
1.0
-3.942 -2.047 -0.068
0.330 -0.489 -4.403
1.978 -3.827 0.573
C Os Se Br
1 1 1 2
Cartesian
0.000 0.000 0.000
-0.817 -3.181 -1.949
0.989 -1.914 0.286
0.165 -0.244 -2.201
-1.971 -1.023 -0.034
```